Record 1
The following is a DFT calculation (SCAN) of Mg3Ga at its PBEsol-relaxed geometry.

abc: 4.8493 4.8493 4.8493
angles: 60.00 60.00 60.00
Fractional coordinates of all 4 atoms:
Mg  0.0000  0.0000  0.0000
Mg  0.2500  0.2500  0.2500
Mg  0.7500  0.7500  0.7500
Ga  0.5000  0.5000  0.5000

Summary:
Energy of formation = -0.071 eV/atom
Space-group type = Fm-3m
Density of states at the Fermi level = 0.379 states/eV/atom
E = -7.8877 eV/atom
Theoretical density = 2.9 Mg/m³
Total moment = 0.00 μB per cell



Record 2
The following is a DFT calculation (SCAN) of MgGa3 at its PBEsol-relaxed geometry.

abc: 3.1118 3.1118 8.8864
angles: 90.00 90.00 120.00
Fractional coordinates of all 4 atoms:
Mg  0.0000  0.0000  0.0000
Ga  0.0000  0.0000  0.5000
Ga  0.3333  0.6667  0.2602
Ga  0.3333  0.6667  0.7398

Summary:
Energy of formation = 0.040 eV/atom
Space-group type = P-6m2
Density of states at the Fermi level = 0.400 states/eV/atom
E = -13.4636 eV/atom
Theoretical density = 5.2 Mg/m³
Total moment = 0.00 μB per cell



What did the second record say?
The following is a DFT calculation (SCAN) of MgGa3 at its PBEsol-relaxed geometry.

abc: 3.1118 3.1118 8.8864
angles: 90.00 90.00 120.00
Fractional coordinates of all 4 atoms:
Mg  0.0000  0.0000  0.0000
Ga  0.0000  0.0000  0.5000
Ga  0.3333  0.6667  0.2602
Ga  0.3333  0.6667  0.7398

Summary:
Energy of formation = 0.040 eV/atom
Space-group type = P-6m2
Density of states at the Fermi level = 0.400 states/eV/atom
E = -13.4636 eV/atom
Theoretical density = 5.2 Mg/m³
Total moment = 0.00 μB per cell



Repeat the second record exactly.
The following is a DFT calculation (SCAN) of MgGa3 at its PBEsol-relaxed geometry.

abc: 3.1118 3.1118 8.8864
angles: 90.00 90.00 120.00
Fractional coordinates of all 4 atoms:
Mg  0.0000  0.0000  0.0000
Ga  0.0000  0.0000  0.5000
Ga  0.3333  0.6667  0.2602
Ga  0.3333  0.6667  0.7398

Summary:
Energy of formation = 0.040 eV/atom
Space-group type = P-6m2
Density of states at the Fermi level = 0.400 states/eV/atom
E = -13.4636 eV/atom
Theoretical density = 5.2 Mg/m³
Total moment = 0.00 μB per cell